1.
A plane-wave DFT calculation with PBE was carried out for an optimized crystal structure of TmGaNi.

```
TmGaNi
1.0
0.0000 3.0795 3.0795
3.0795 0.0000 3.0795
3.0795 3.0795 0.0000
Tm Ga Ni
1 1 1
direct
0.0000 0.0000 0.0000
0.5000 0.5000 0.5000
0.7500 0.7500 0.7500
```

Values from the calculation:
The value obtained for the calculated volume is 58 Å³ per cell. The value obtained for the total energy is -4.871 eV per atom. As for the formation energy: -445 meV per atom.

=====

2.
A plane-wave DFT calculation with PBE was carried out for an optimized crystal structure of CeNd6Ho12.

```
CeNd6Ho12
1.0
8.5096 4.9130 2.7341
-8.5096 4.9130 2.7341
0.0000 -9.8260 2.7341
Ce Nd Ho
1 6 12
direct
0.0000 0.0000 0.0000
0.1102 0.1102 0.4479
0.1102 0.4479 0.1102
0.4479 0.1102 0.1102
0.5521 0.8898 0.8898
0.8898 0.5521 0.8898
0.8898 0.8898 0.5521
0.0155 0.6680 0.6680
0.2089 0.5000 0.7911
0.2089 0.7911 0.5000
0.3320 0.3320 0.9845
0.3320 0.9845 0.3320
0.5000 0.2089 0.7911
0.5000 0.7911 0.2089
0.6680 0.0155 0.6680
0.6680 0.6680 0.0155
0.7911 0.2089 0.5000
0.7911 0.5000 0.2089
0.9845 0.3320 0.3320
```

Values from the calculation:
The value obtained for the calculated volume is 686 Å³ per cell. The value obtained for the total energy is -4.296 eV per atom. As for the formation energy: 413 meV per atom.

=====

Computed N(E_F), in the same sequence as the records: 3.8, 37.7 states/eV/f.u..